Compound: Zn4Ag
Source: Alexandria
Functional: GGA-PBE
Structure: relaxed

Results
As for the formation energy from the elements: 0.010 eV per atom. For the total magnetization, the calculation gives 0.000 μB/cell. The energy above the most stable polymorph in this dataset comes out at 0.05 eV per formula unit. The density is 7.9 g/cm3.

abc: 10.0516 2.8066 2.8066
angles: 90.00 81.97 98.03
Closest atoms and distances in Å follow each position.
Fractional positions:
Ag: 0.0000 0.0000 0.0000  4 Ag 2.81, 8 Zn 2.88
Zn: 0.2111 0.6056 0.3944  8 Zn 2.74-2.81, 4 Ag 2.88
Zn: 0.4035 0.2018 0.7982  12 Zn 2.74-2.81
Zn: 0.5965 0.7982 0.2018  12 Zn 2.74-2.81
Zn: 0.7889 0.3944 0.6056  8 Zn 2.74-2.81, 4 Ag 2.88

---

Compound: ZnAg
Source: Alexandria
Functional: GGA-PBE
Structure: relaxed

Results
As for the formation energy from the elements: -0.022 eV per atom. For the total magnetization, the calculation gives 0.000 μB/cell. The density is 8.8 g/cm3.

abc: 2.9316 4.6069 4.8519
angles: 90.00 90.00 90.00
Closest atoms and distances in Å follow each position.
Fractional positions:
Zn: 0.0000 0.5000 0.3310  6 Ag 2.77-2.89, 6 Zn 2.85-2.93
Zn: 0.5000 0.0000 0.5024  6 Ag 2.77-2.89, 6 Zn 2.85-2.93
Ag: 0.0000 0.0000 0.0146  6 Zn 2.77-2.89, 6 Ag 2.89-2.93
Ag: 0.5000 0.5000 0.8188  6 Zn 2.77-2.89, 6 Ag 2.89-2.93

---

Compound: ZnAg
Source: Alexandria
Functional: GGA-PBE
Structure: relaxed

Results
As for the formation energy from the elements: 0.049 eV per atom. For the total magnetization, the calculation gives 0.000 μB/cell. The density is 8.1 g/cm3.

abc: 2.8779 11.2704 6.5992
angles: 90.00 90.00 90.00
Closest atoms and distances in Å follow each position.
Fractional positions:
Zn: 0.5000 0.6173 0.8834  4 Zn 2.64-2.88, 6 Ag 2.70-2.78
Zn: 0.5000 0.3827 0.8834  4 Zn 2.64-2.88, 6 Ag 2.70-2.78
Zn: 0.5000 0.1173 0.3834  4 Zn 2.64-2.88, 6 Ag 2.70-2.78
Zn: 0.5000 0.8827 0.3834  4 Zn 2.64-2.88, 6 Ag 2.70-2.78
Zn: 0.5000 0.0000 0.7366  4 Zn 2.68-2.88, 6 Ag 2.71-2.77
Zn: 0.5000 0.5000 0.2366  4 Zn 2.68-2.88, 6 Ag 2.71-2.77
Ag: 0.0000 0.2092 0.7052  6 Zn 2.70-2.77, 2 Ag 2.88
Ag: 0.0000 0.7908 0.7052  6 Zn 2.70-2.77, 2 Ag 2.88
Ag: 0.0000 0.7092 0.2052  6 Zn 2.70-2.77, 2 Ag 2.88
Ag: 0.0000 0.2908 0.2052  6 Zn 2.70-2.77, 2 Ag 2.88
Ag: 0.0000 0.0000 0.0842  6 Zn 2.71-2.78, 2 Ag 2.88
Ag: 0.0000 0.5000 0.5842  6 Zn 2.71-2.78, 2 Ag 2.88